#a
This record from Alexandria via LeMat-Bulk describes a geometry-optimized Mn2IrI structure. The functional is PBE-GGA.

Structure (POSCAR):
```
Mn2IrI
1.0
0.000 3.083 3.083
3.083 0.000 3.083
3.083 3.083 0.000
Mn Ir I
2 1 1
Cartesian
1.542 1.542 1.542
4.625 4.625 4.625
0.000 0.000 0.000
3.083 3.083 3.083
```

Output
The value obtained for the density of states at the Fermi level is 11.204 states/eV per cell. The volume is 59 Å³/f.u. The calculation puts the mass density at 12.15 Mg/m³. As for the symmetry: Fm-3m, No. 225.



#b
This record from Alexandria via LeMat-Bulk describes a geometry-optimized Mn2IrI structure. The functional is PBE-GGA.

Structure (POSCAR):
```
Mn2IrI
1.0
-3.085 3.085 5.957
3.085 -3.085 5.957
3.085 3.085 -5.957
Mn Ir I
4 2 2
Cartesian
4.627 1.180 -1.489
1.180 1.542 1.489
-1.542 1.904 4.468
1.904 1.542 7.447
0.000 0.000 0.000
0.000 3.085 2.979
3.085 0.000 2.979
0.000 0.000 5.957
```

Output
The value obtained for the density of states at the Fermi level is 11.426 states/eV per cell. The volume is 113 Å³/f.u. The calculation puts the mass density at 6.28 Mg/m³. As for the symmetry: I-42d, No. 122.



The energy of each structure relative to the most stable one, in meV/atom, is as follows: #a 215; #b 0.